In4AsRu SCAN PBEsol geometry; E = -30.640 eV/atom; energy of formation = 0.79 eV/atom; SG = F-43m (216); Fermi-level density of states = 0.46 states/eV per atom
1.0
0.000 4.025 4.025
4.025 0.000 4.025
4.025 4.025 0.000
In As Ru
4 1 1
Direct
0.125 0.125 0.125
0.125 0.125 0.624
0.125 0.624 0.125
0.624 0.125 0.125
0.750 0.750 0.750
0.500 0.500 0.500